# PBE-GGA Hg5Pb3Br16, relaxed
# E_form (uncorrected), eV/atom: -0.5764
# Density, kg/m³: 5613
# Total magnetic moment, μB/f.u.: 0.00
# Total energy, eV per atom: -2.218
data_Hg5Pb3Br16
_chemical_formula_sum 'Hg10 Pb6 Br32'
_cell_length_a 14.788
_cell_length_b 8.713
_cell_length_c 13.363
_cell_angle_alpha 90.00
_cell_angle_beta 93.98
_cell_angle_gamma 90.00
_space_group_name_H-M_alt 'C 1 m 1'
_space_group_IT_number 8
_space_group_name_Hall 'C -2y'
loop_
_atom_site_label
_atom_site_type_symbol
_atom_site_fract_x
_atom_site_fract_y
_atom_site_fract_z
_atom_site_occupancy
Hg1 Hg 0.000 0.000 0.000 1
Hg2 Hg 0.010 0.500 0.236 1
Hg3 Hg 0.172 0.500 0.508 1
Hg4 Hg 0.437 0.247 0.728 1
Pb1 Pb 0.176 0.000 0.733 1
Pb2 Pb 0.260 0.256 0.236 1
Br1 Br 0.008 0.500 0.608 1
Br2 Br 0.090 0.241 0.855 1
Br3 Br 0.100 0.276 0.372 1
Br4 Br 0.159 0.500 0.109 1
Br5 Br 0.160 0.000 0.097 1
Br6 Br 0.269 0.261 0.615 1
Br7 Br 0.339 0.500 0.368 1
Br8 Br 0.356 0.000 0.357 1
Br9 Br 0.362 0.500 0.870 1
Br10 Br 0.364 0.000 0.842 1
Br11 Br 0.426 0.240 0.118 1
Br12 Br 0.497 0.500 0.609 1


# PBE-GGA Ag8Sb5As3S16, relaxed
# E_form (uncorrected), eV/atom: -0.1473
# Density, kg/m³: 5112
# Total magnetic moment, μB/f.u.: 0.00
# Total energy, eV per atom: -4.004
data_Ag8Sb5As3S16
_chemical_formula_sum 'Ag8 Sb5 As3 S16'
_cell_length_a 5.986
_cell_length_b 8.696
_cell_length_c 13.868
_cell_angle_alpha 96.18
_cell_angle_beta 90.21
_cell_angle_gamma 90.02
_space_group_name_H-M_alt 'P 1'
_space_group_IT_number 1
_space_group_name_Hall 'P 1'
loop_
_atom_site_label
_atom_site_type_symbol
_atom_site_fract_x
_atom_site_fract_y
_atom_site_fract_z
_atom_site_occupancy
Ag1 Ag 0.000 0.000 0.000 1
Ag2 Ag 0.004 0.084 0.628 1
Ag3 Ag 0.018 0.578 0.128 1
Ag4 Ag 0.023 0.497 0.501 1
Ag5 Ag 0.498 0.637 0.915 1
Ag6 Ag 0.505 0.536 0.286 1
Ag7 Ag 0.515 0.043 0.785 1
Ag8 Ag 0.519 0.132 0.415 1
Sb1 Sb 0.035 0.346 0.848 1
Sb2 Sb 0.491 0.783 0.567 1
Sb3 Sb 0.530 0.895 0.169 1
Sb4 Sb 0.539 0.283 0.059 1
Sb5 Sb 0.984 0.840 0.347 1
As1 As 0.003 0.235 0.254 1
As2 As 0.017 0.740 0.753 1
As3 As 0.505 0.388 0.659 1
S1 S 0.062 0.635 0.900 1
S2 S 0.090 0.989 0.814 1
S3 S 0.117 0.872 0.156 1
S4 S 0.123 0.314 0.035 1
S5 S 0.388 0.246 0.259 1
S6 S 0.397 0.806 0.376 1
S7 S 0.429 0.139 0.598 1
S8 S 0.459 0.495 0.514 1
S9 S 0.562 0.995 0.006 1
S10 S 0.592 0.624 0.097 1
S11 S 0.620 0.315 0.874 1
S12 S 0.631 0.752 0.759 1
S13 S 0.889 0.374 0.654 1
S14 S 0.902 0.815 0.538 1
S15 S 0.931 0.484 0.316 1
S16 S 0.956 0.128 0.399 1


# PBE-GGA TbCdInRu, relaxed
# DFT formation energy, eV/atom: -0.095
# Density, kg/m³: 9762
# Total magnetic moment, μB/f.u.: 0.00
# Total energy, eV per atom: -4.485
data_TbCdInRu
_chemical_formula_sum 'Tb4 Cd4 In4 Ru4'
_cell_length_a 6.921
_cell_length_b 6.921
_cell_length_c 6.921
_cell_angle_alpha 90.00
_cell_angle_beta 90.00
_cell_angle_gamma 90.00
_space_group_name_H-M_alt 'F -4 3 m'
_space_group_IT_number 216
_space_group_name_Hall 'F -4 2 3'
loop_
_atom_site_label
_atom_site_type_symbol
_atom_site_fract_x
_atom_site_fract_y
_atom_site_fract_z
_atom_site_occupancy
Tb1 Tb 0.000 0.000 0.000 1
Cd1 Cd 0.250 0.250 0.250 1
In1 In 0.000 0.000 0.500 1
Ru1 Ru 0.250 0.250 0.750 1


# PBE-GGA Hf2ZnRu2, relaxed
# DFT formation energy, eV/atom: -0.365
# Density, kg/m³: 11640
# Total magnetic moment, μB/f.u.: 0.00
# Total energy, eV per atom: -8.311
data_Hf2ZnRu2
_chemical_formula_sum 'Hf4 Zn2 Ru4'
_cell_length_a 7.436
_cell_length_b 7.436
_cell_length_c 3.223
_cell_angle_alpha 90.00
_cell_angle_beta 90.00
_cell_angle_gamma 90.00
_space_group_name_H-M_alt 'P 4/m b m'
_space_group_IT_number 127
_space_group_name_Hall '-P 4 2ab'
loop_
_atom_site_label
_atom_site_type_symbol
_atom_site_fract_x
_atom_site_fract_y
_atom_site_fract_z
_atom_site_occupancy
Hf1 Hf 0.156 0.344 0.000 1
Zn1 Zn 0.000 0.000 0.500 1
Ru1 Ru 0.144 0.644 0.500 1


# PBE-GGA ScAgP, relaxed
# DFT formation energy, eV/atom: -0.440
# Density, kg/m³: 5047
# Total magnetic moment, μB/f.u.: 0.00
# Total energy, eV per atom: -5.304
data_ScAgP
_chemical_formula_sum 'Sc2 Ag2 P2'
_cell_length_a 3.533
_cell_length_b 3.533
_cell_length_c 9.691
_cell_angle_alpha 90.00
_cell_angle_beta 90.00
_cell_angle_gamma 90.00
_space_group_name_H-M_alt 'I 4 m m'
_space_group_IT_number 107
_space_group_name_Hall 'I 4 -2'
loop_
_atom_site_label
_atom_site_type_symbol
_atom_site_fract_x
_atom_site_fract_y
_atom_site_fract_z
_atom_site_occupancy
Sc1 Sc 0.000 0.000 0.000 1
Ag1 Ag 0.000 0.000 0.299 1
P1 P 0.000 0.000 0.573 1


# PBE-GGA LaGdCoOs, relaxed
# DFT formation energy, eV/atom: 0.032
# Density, kg/m³: 10679
# Total magnetic moment, μB/f.u.: 5.95
# Total energy, eV per atom: -9.304
data_LaGdCoOs
_chemical_formula_sum 'La4 Gd4 Co4 Os4'
_cell_length_a 6.974
_cell_length_b 6.974
_cell_length_c 6.974
_cell_angle_alpha 90.00
_cell_angle_beta 90.00
_cell_angle_gamma 90.00
_space_group_name_H-M_alt 'F -4 3 m'
_space_group_IT_number 216
_space_group_name_Hall 'F -4 2 3'
loop_
_atom_site_label
_atom_site_type_symbol
_atom_site_fract_x
_atom_site_fract_y
_atom_site_fract_z
_atom_site_occupancy
La1 La 0.000 0.000 0.000 1
Gd1 Gd 0.000 0.000 0.500 1
Co1 Co 0.250 0.250 0.250 1
Os1 Os 0.250 0.250 0.750 1


# PBE-GGA LiHoZrS4, relaxed
# E_form (uncorrected), eV/atom: -1.7145
# Density, kg/m³: 3981
# Total magnetic moment, μB/f.u.: 0.00
# Total energy, eV per atom: -6.222
data_LiHoZrS4
_chemical_formula_sum 'Li4 Ho4 Zr4 S16'
_cell_length_a 7.572
_cell_length_b 7.870
_cell_length_c 10.956
_cell_angle_alpha 90.00
_cell_angle_beta 90.00
_cell_angle_gamma 90.00
_space_group_name_H-M_alt 'I m m a'
_space_group_IT_number 74
_space_group_name_Hall '-I 2b 2'
loop_
_atom_site_label
_atom_site_type_symbol
_atom_site_fract_x
_atom_site_fract_y
_atom_site_fract_z
_atom_site_occupancy
Li1 Li 0.000 0.250 0.122 1
Ho1 Ho 0.000 0.000 0.500 1
Zr1 Zr 0.250 0.250 0.750 1
S1 S 0.000 0.022 0.749 1
S2 S 0.245 0.250 0.515 1


# PBE-GGA RbTlCdHg, relaxed
# DFT formation energy, eV/atom: -0.083
# Density, kg/m³: 6678
# E above lowest polymorph, eV/f.u.: 0.00
# Total magnetic moment, μB/f.u.: 0.00
# Total energy, eV per atom: -1.221
data_RbTlCdHg
_chemical_formula_sum 'Rb2 Tl2 Cd2 Hg2'
_cell_length_a 9.057
_cell_length_b 5.106
_cell_length_c 7.127
_cell_angle_alpha 90.00
_cell_angle_beta 114.54
_cell_angle_gamma 90.00
_space_group_name_H-M_alt 'C 1 m 1'
_space_group_IT_number 8
_space_group_name_Hall 'C -2y'
loop_
_atom_site_label
_atom_site_type_symbol
_atom_site_fract_x
_atom_site_fract_y
_atom_site_fract_z
_atom_site_occupancy
Rb1 Rb 0.000 0.000 0.000 1
Tl1 Tl 0.199 0.000 0.603 1
Cd1 Cd 0.298 0.500 0.401 1
Hg1 Hg 0.472 0.000 0.419 1


# PBE-GGA Mn2NiSnH, relaxed
# Density, kg/m³: 8323
# Total magnetic moment, μB/f.u.: 5.15
# Total energy, eV per atom: -6.360
data_Mn2NiSnH
_chemical_formula_sum 'Mn2 Ni1 Sn1 H1'
_cell_length_a 3.831
_cell_length_b 3.831
_cell_length_c 3.920
_cell_angle_alpha 90.00
_cell_angle_beta 90.00
_cell_angle_gamma 90.00
_space_group_name_H-M_alt 'P 4/m m m'
_space_group_IT_number 123
_space_group_name_Hall '-P 4 2'
loop_
_atom_site_label
_atom_site_type_symbol
_atom_site_fract_x
_atom_site_fract_y
_atom_site_fract_z
_atom_site_occupancy
Mn1 Mn 0.000 0.500 0.000 1
Ni1 Ni 0.000 0.000 0.500 1
Sn1 Sn 0.500 0.500 0.500 1
H1 H 0.000 0.000 0.000 1


# PBE-GGA Np3TlI8, relaxed
# E_form (uncorrected), eV/atom: -0.7316
# Density, kg/m³: 5642
# Total magnetic moment, μB/f.u.: 14.00
# Total energy, eV per atom: -5.197
data_Np3TlI8
_chemical_formula_sum 'Np9 Tl3 I24'
_cell_length_a 8.7981
_cell_length_b 8.7981
_cell_length_c 25.4274
_cell_angle_alpha 90.00
_cell_angle_beta 90.00
_cell_angle_gamma 120.00
_space_group_name_H-M_alt 'R -3 m'
_space_group_IT_number 166
_space_group_name_Hall '-R 3 2"'
loop_
_atom_site_label
_atom_site_type_symbol
_atom_site_fract_x
_atom_site_fract_y
_atom_site_fract_z
_atom_site_occupancy
Np1 Np 0.0000 0.5000 0.0000 1
Tl1 Tl 0.0000 0.0000 0.5000 1
I1 I 0.0000 0.0000 0.2582 1
I2 I 0.0036 0.5018 0.7390 1


# PBE-GGA Ba2AlHg4Sb2, relaxed
# E_form (uncorrected), eV/atom: -0.4439
# Density, kg/m³: 8171
# Total magnetic moment, μB/f.u.: 0.00
# Total energy, eV per atom: -2.337
data_Ba2AlHg4Sb2
_chemical_formula_sum 'Ba4 Al2 Hg8 Sb4'
_cell_length_a 7.179
_cell_length_b 7.179
_cell_length_c 10.627
_cell_angle_alpha 90.00
_cell_angle_beta 90.00
_cell_angle_gamma 90.00
_space_group_name_H-M_alt 'I 4/m m m'
_space_group_IT_number 139
_space_group_name_Hall '-I 4 2'
loop_
_atom_site_label
_atom_site_type_symbol
_atom_site_fract_x
_atom_site_fract_y
_atom_site_fract_z
_atom_site_occupancy
Ba1 Ba 0.000 0.500 0.250 1
Al1 Al 0.000 0.000 0.000 1
Hg1 Hg 0.223 0.223 0.500 1
Sb1 Sb 0.000 0.000 0.262 1


# PBE-GGA Cs2Cd3Pb5, relaxed
# DFT formation energy, eV/atom: -0.103
# Density, kg/m³: 7560
# Total magnetic moment, μB/f.u.: 0.00
# Total energy, eV per atom: -2.403
data_Cs2Cd3Pb5
_chemical_formula_sum 'Cs8 Cd12 Pb20'
_cell_length_a 12.844
_cell_length_b 14.945
_cell_length_c 7.502
_cell_angle_alpha 90.00
_cell_angle_beta 90.00
_cell_angle_gamma 90.00
_space_group_name_H-M_alt 'I b a m'
_space_group_IT_number 72
_space_group_name_Hall '-I 2 2c'
loop_
_atom_site_label
_atom_site_type_symbol
_atom_site_fract_x
_atom_site_fract_y
_atom_site_fract_z
_atom_site_occupancy
Cs1 Cs 0.249 0.126 0.000 1
Cd1 Cd 0.000 0.000 0.250 1
Cd2 Cd 0.131 0.379 0.000 1
Pb1 Pb 0.000 0.252 0.250 1
Pb2 Pb 0.000 0.500 0.250 1
Pb3 Pb 0.132 0.121 0.500 1